TcHg3Te after structural relaxation, computed with GGA-PBE.

Summary:
Excess energy over the best structure of this formula in the dataset in meV per atom: 0.0
DOS at the Fermi energy in states/eV per atom: 0.90
Energy in eV/atom: -2.1051
Formation energy (no corrections) in kJ per mole of atoms: 75.0
V in Å³ per cell: 154

Unit cell a=5.3585 b=5.3585 c=5.3585 alpha=90.00 beta=90.00 gamma=90.00
Last column: nearest neighbours and their distance in Å.
Fractional coordinates of all 5 atoms:
Tc 0.0000 0.0000 0.0000  6 Hg 2.68
Hg 0.0000 0.0000 0.5000  2 Tc 2.68
Hg 0.0000 0.5000 0.0000  2 Tc 2.68
Hg 0.5000 0.0000 0.0000  2 Tc 2.68
Te 0.5000 0.5000 0.5000  12 Hg 3.79

LiCo5 after structural relaxation, computed with GGA-PBE.

Summary:
Excess energy over the best structure of this formula in the dataset in meV per atom: 0.6
DOS at the Fermi energy in states/eV per atom: 0.77
Energy in eV/atom: -6.1507
Formation energy in eV/f.u.: 0.539
V in Å³ per cell: 65

Unit cell a=4.2857 b=4.2857 c=4.0825 alpha=90.00 beta=90.00 gamma=120.00
Last column: nearest neighbours and their distance in Å.
Fractional coordinates of all 6 atoms:
Li 0.0000 0.0000 0.0000  12 Co 2.47-2.49
Co 0.0000 0.6658 0.5000  10 Co 2.47-2.49, 2 Li 2.49
Co 0.3333 0.6667 0.0000  3 Li 2.47, 9 Co 2.47-2.49
Co 0.3342 0.3342 0.5000  10 Co 2.47-2.49, 2 Li 2.49
Co 0.6658 0.0000 0.5000  10 Co 2.47-2.49, 2 Li 2.49
Co 0.6667 0.3333 0.0000  3 Li 2.47, 9 Co 2.47-2.49

Pm12Nd2Sc after structural relaxation, computed with GGA-PBE.

Summary:
DOS at the Fermi energy in states/eV per atom: 1.42
Energy in eV/atom: -4.5290
Formation energy in eV/f.u.: 4.939
V in Å³ per cell: 1084

Unit cell a=6.5809 b=6.5809 c=25.0305 alpha=90.00 beta=90.00 gamma=90.00
Last column: nearest neighbours and their distance in Å.
Fractional coordinates of all 30 atoms:
Pm 0.0617 0.5617 0.1073  1 Sc 3.21, 7 Pm 3.39-3.51
Pm 0.0617 0.9383 0.8927  1 Sc 3.21, 7 Pm 3.39-3.51
Pm 0.0826 0.5826 0.5629  5 Pm 3.12-3.47
Pm 0.0826 0.9174 0.4371  5 Pm 3.12-3.47
Pm 0.2500 0.2500 0.2098  5 Pm 3.14-3.51
Pm 0.2500 0.2500 0.3352  1 Pm 3.14
Pm 0.2500 0.2500 0.6648  1 Pm 3.14
Pm 0.2500 0.2500 0.7902  5 Pm 3.14-3.51
Pm 0.4174 0.5826 0.4371  5 Pm 3.12-3.47
Pm 0.4174 0.9174 0.5629  5 Pm 3.12-3.47
Pm 0.4383 0.5617 0.8927  1 Sc 3.21, 7 Pm 3.39-3.51
Pm 0.4383 0.9383 0.1073  1 Sc 3.21, 7 Pm 3.39-3.51
Pm 0.5617 0.0617 0.8927  1 Sc 3.21, 7 Pm 3.39-3.51
Pm 0.5617 0.4383 0.1073  1 Sc 3.21, 7 Pm 3.39-3.51
Pm 0.5826 0.0826 0.4371  5 Pm 3.12-3.47
Pm 0.5826 0.4174 0.5629  5 Pm 3.12-3.47
Pm 0.7500 0.7500 0.2098  5 Pm 3.14-3.51
Pm 0.7500 0.7500 0.3352  1 Pm 3.14
Pm 0.7500 0.7500 0.6648  1 Pm 3.14
Pm 0.7500 0.7500 0.7902  5 Pm 3.14-3.51
Pm 0.9174 0.0826 0.5629  5 Pm 3.12-3.47
Pm 0.9174 0.4174 0.4371  5 Pm 3.12-3.47
Pm 0.9383 0.0617 0.1073  1 Sc 3.21, 7 Pm 3.39-3.51
Pm 0.9383 0.4383 0.8927  1 Sc 3.21, 7 Pm 3.39-3.51
Nd 0.2500 0.7500 0.2634  8 Pm 3.55-3.75
Nd 0.2500 0.7500 0.7366  8 Pm 3.55-3.75
Nd 0.7500 0.2500 0.2634  8 Pm 3.55-3.75
Nd 0.7500 0.2500 0.7366  8 Pm 3.55-3.75
Sc 0.2500 0.7500 0.0000  4 Pm 3.21
Sc 0.7500 0.2500 0.0000  4 Pm 3.21

AcTbMgSn after structural relaxation, computed with GGA-PBE.

Summary:
DOS at the Fermi energy in states/eV per atom: 0.90
Energy in eV/atom: -3.9310
Formation energy in eV/f.u.: -1.388
V in Å³ per cell: 121

Unit cell a=5.5576 b=5.5576 c=5.5576 alpha=60.00 beta=60.00 gamma=60.00
Last column: nearest neighbours and their distance in Å.
Fractional coordinates of all 4 atoms:
Ac 0.0000 0.0000 0.0000  4 Sn 3.40, 4 Mg 3.40
Tb 0.5000 0.5000 0.5000  4 Sn 3.40, 4 Mg 3.40
Mg 0.2500 0.2500 0.2500  4 Tb 3.40, 4 Ac 3.40
Sn 0.7500 0.7500 0.7500  4 Ac 3.40, 4 Tb 3.40

NiAg2Cl after structural relaxation, computed with GGA-PBE.

Summary:
Excess energy over the best structure of this formula in the dataset in meV per atom: 107.4
DOS at the Fermi energy in states/eV per atom: 0.74
Energy in eV/atom: -3.1776
Formation energy (no corrections) in kJ per mole of atoms: 15.0
V in Å³ per cell: 71

Unit cell a=3.0300 b=3.0300 c=8.5857 alpha=90.00 beta=90.00 gamma=116.04
Last column: nearest neighbours and their distance in Å.
Fractional coordinates of all 4 atoms:
Ni 0.0000 0.0000 0.0000  2 Cl 2.23
Ag 0.0000 0.0000 0.4865  6 Ag 2.83-3.03, 2 Cl 3.08
Ag 0.5000 0.5000 0.7573  2 Ni 2.63, 2 Ag 2.83
Cl 0.5000 0.5000 0.1804  2 Ni 2.23

CaSmSiPd after structural relaxation, computed with GGA-PBE.

Summary:
DOS at the Fermi energy in states/eV per atom: 0.60
Energy in eV/atom: -4.9406
Formation energy (no corrections) in kJ per mole of atoms: -58.5
V in Å³ per cell: 91

Unit cell a=5.0458 b=5.0458 c=5.0458 alpha=60.00 beta=60.00 gamma=60.00
Last column: nearest neighbours and their distance in Å.
Fractional coordinates of all 4 atoms:
Ca 0.0000 0.0000 0.0000  4 Si 3.09, 4 Pd 3.09
Sm 0.5000 0.5000 0.5000  4 Pd 3.09, 4 Si 3.09
Si 0.7500 0.7500 0.7500  4 Sm 3.09, 4 Ca 3.09
Pd 0.2500 0.2500 0.2500  4 Sm 3.09, 4 Ca 3.09

LiYZn4 after structural relaxation, computed with GGA-PBE.

Summary:
Excess energy over the best structure of this formula in the dataset in meV per atom: 21.6
DOS at the Fermi energy in states/eV per atom: 0.43
Energy in eV/atom: -2.4725
Formation energy in eV/f.u.: -1.361
V in Å³ per cell: 113

Unit cell a=5.4960 b=5.4960 c=5.4960 alpha=131.01 beta=106.04 gamma=93.87
Last column: nearest neighbours and their distance in Å.
Fractional coordinates of all 6 atoms:
Li 0.0000 0.0000 0.0000  12 Zn 2.93-3.14
Y 0.5000 0.0000 0.5000  12 Zn 3.03-3.04, 2 Li 3.31
Zn 0.0937 0.3303 0.7634  3 Zn 2.55-2.58
Zn 0.4330 0.6697 0.7634  3 Zn 2.55-2.58
Zn 0.5670 0.3303 0.2366  3 Zn 2.55-2.58
Zn 0.9063 0.6697 0.2366  3 Zn 2.55-2.58

Rb2PaGeTe5 after structural relaxation, computed with GGA-PBE.

Summary:
DOS at the Fermi energy in states/eV per atom: 0.33
Energy in eV/atom: -4.2372
Formation energy (no corrections) in kJ per mole of atoms: -68.4
V in Å³ per cell: 765

Unit cell a=10.8730 b=10.8730 c=15.2837 alpha=90.00 beta=90.00 gamma=154.95
Last column: nearest neighbours and their distance in Å.
Fractional coordinates of all 18 atoms:
Rb 0.1168 0.8832 0.5000  6 Te 3.66-3.93
Rb 0.1273 0.8727 0.8563  5 Te 3.69-3.92
Rb 0.8727 0.1273 0.3563  5 Te 3.69-3.92
Rb 0.8832 0.1168 0.0000  6 Te 3.66-3.93
Pa 0.1984 0.8016 0.1958  6 Te 2.85-3.14
Pa 0.8016 0.1984 0.6958  6 Te 2.85-3.14
Ge 0.4376 0.5624 0.5911  4 Te 2.57-2.77
Ge 0.5624 0.4376 0.0911  4 Te 2.57-2.77
Te 0.0524 0.9476 0.1856  2 Ge 2.77, 1 Pa 3.10
Te 0.3097 0.6903 0.5604  1 Ge 2.76
Te 0.3103 0.6897 0.8209  2 Pa 3.04
Te 0.3321 0.6679 0.1757  1 Pa 2.85
Te 0.4917 0.5083 0.4408  1 Ge 2.57
Te 0.5083 0.4917 0.9408  1 Ge 2.57
Te 0.6679 0.3321 0.6757  1 Pa 2.85
Te 0.6903 0.3097 0.0604  1 Ge 2.76
Te 0.6897 0.3103 0.3209  2 Pa 3.04
Te 0.9476 0.0524 0.6856  2 Ge 2.77, 1 Pa 3.10